First-principles (PBE+U) data for a geometry-optimized Rb3CoO2 structure, as listed in Alexandria.

Cell lengths 6.284, 7.810, 12.469 Å; angles 90.00, 90.00, 90.00 degrees
Atoms (fractional coordinates):
Rb  0.774  0.750  0.899
Rb  0.274  0.250  0.601
Rb  0.226  0.250  0.101
Rb  0.726  0.750  0.399
Rb  0.318  0.500  0.862
Rb  0.818  0.500  0.638
Rb  0.682  0.000  0.138
Rb  0.182  0.000  0.362
Rb  0.682  0.500  0.138
Rb  0.182  0.500  0.362
Rb  0.318  0.000  0.862
Rb  0.818  0.000  0.638
Co  0.307  0.750  0.619
Co  0.193  0.750  0.119
Co  0.807  0.250  0.881
Co  0.693  0.250  0.381
O  0.590  0.250  0.972
O  0.090  0.750  0.528
O  0.410  0.750  0.028
O  0.910  0.250  0.472
O  0.016  0.250  0.785
O  0.484  0.250  0.285
O  0.516  0.750  0.715
O  0.984  0.750  0.215

Values from the calculation:
- V (Å³ per cell) = 612
- mass density (g/cm³) = 3.77
- space group = No. 62
- total DFT energy (no corrections) (eV per atom) = -4.01
- crystal system = orthorhombic